# 1
# meta-GGA SCAN Na2Mn3Cl8, single point on PBEsol structure
data_Na2Mn3Cl8
_chemical_formula_sum 'Na6 Mn9 Cl24'
_cell_length_a 7.3436
_cell_length_b 7.3436
_cell_length_c 19.4539
_cell_angle_alpha 90.00
_cell_angle_beta 90.00
_cell_angle_gamma 120.00
_space_group_name_H-M_alt 'R -3 m'
_space_group_IT_number 166
_space_group_name_Hall '-R 3 2"'
loop_
_atom_site_label
_atom_site_type_symbol
_atom_site_fract_x
_atom_site_fract_y
_atom_site_fract_z
Na1 Na 0.0000 0.0000 0.1590
Mn1 Mn 0.0000 0.5000 0.0000
Cl1 Cl 0.0000 0.0000 0.4045
Cl2 Cl 0.0161 0.5081 0.4054
# E = -11.4935 eV/atom
# DOS at the Fermi energy = 0.00 states/eV/f.u.
# formation energy from raw total energies = -1.723 eV/atom

***

# 2
# meta-GGA SCAN RbNa2Mn3P4ClO14, single point on PBEsol structure
data_RbNa2Mn3P4ClO14
_chemical_formula_sum 'Rb4 Na8 Mn12 P16 Cl4 O56'
_cell_length_a 21.0280
_cell_length_b 5.2300
_cell_length_c 13.7754
_cell_angle_alpha 90.00
_cell_angle_beta 119.19
_cell_angle_gamma 90.00
_space_group_name_H-M_alt 'C 1 2/c 1'
_space_group_IT_number 15
_space_group_name_Hall '-C 2yc'
loop_
_atom_site_label
_atom_site_type_symbol
_atom_site_fract_x
_atom_site_fract_y
_atom_site_fract_z
Rb1 Rb 0.0000 0.0000 0.0000
Na1 Na 0.2209 0.0263 0.1524
Mn1 Mn 0.0000 0.4389 0.7500
Mn2 Mn 0.1560 0.0108 0.8436
P1 P 0.1180 0.4949 0.6712
P2 P 0.1581 0.4850 0.4924
Cl1 Cl 0.0000 0.0372 0.2500
O1 O 0.0391 0.4966 0.1463
O2 O 0.1072 0.4492 0.0479
O3 O 0.1194 0.3661 0.8824
O4 O 0.1538 0.2323 0.7072
O5 O 0.1569 0.1956 0.4761
O6 O 0.1667 0.2903 0.2467
O7 O 0.2329 0.4097 0.0740
# E = -11.2596 eV/atom
# DOS at the Fermi energy = 0.00 states/eV/f.u.
# formation energy from raw total energies = -2.430 eV/atom

***

# 3
# meta-GGA SCAN MnNbSCl2, single point on PBEsol structure
data_MnNbSCl2
_chemical_formula_sum 'Mn1 Nb1 S1 Cl2'
_cell_length_a 4.8669
_cell_length_b 4.8669
_cell_length_c 4.7632
_cell_angle_alpha 90.00
_cell_angle_beta 90.00
_cell_angle_gamma 90.00
_space_group_name_H-M_alt 'P 4/m m m'
_space_group_IT_number 123
_space_group_name_Hall '-P 4 2'
loop_
_atom_site_label
_atom_site_type_symbol
_atom_site_fract_x
_atom_site_fract_y
_atom_site_fract_z
Mn1 Mn 0.0000 0.0000 0.0000
Nb1 Nb 0.5000 0.5000 0.5000
S1 S 0.5000 0.5000 0.0000
Cl1 Cl 0.0000 0.5000 0.5000
# E = -15.8887 eV/atom
# DOS at the Fermi energy = 2.26 states/eV/f.u.
# formation energy from raw total energies = -0.495 eV/atom

***

# 4
# meta-GGA SCAN Mn5P3ClO12, single point on PBEsol structure
data_Mn5P3ClO12
_chemical_formula_sum 'Mn10 P6 Cl2 O24'
_cell_length_a 9.5165
_cell_length_b 9.5165
_cell_length_c 6.1308
_cell_angle_alpha 90.00
_cell_angle_beta 90.00
_cell_angle_gamma 120.00
_space_group_name_H-M_alt 'P 63/m'
_space_group_IT_number 176
_space_group_name_Hall '-P 6c'
loop_
_atom_site_label
_atom_site_type_symbol
_atom_site_fract_x
_atom_site_fract_y
_atom_site_fract_z
Mn1 Mn 0.0366 0.7598 0.2500
Mn2 Mn 0.3333 0.6667 0.5065
P1 P 0.0245 0.4068 0.2500
Cl1 Cl 0.0000 0.0000 0.2500
O1 O 0.0725 0.3416 0.0485
O2 O 0.1393 0.5972 0.2500
O3 O 0.1541 0.6372 0.7500
# E = -12.1126 eV/atom
# DOS at the Fermi energy = 0.00 states/eV/f.u.
# formation energy from raw total energies = -2.340 eV/atom

***

# 5
# meta-GGA SCAN Rb2MnV2Cl2O6, single point on PBEsol structure
data_Rb2MnV2Cl2O6
_chemical_formula_sum 'Rb4 Mn2 V4 Cl4 O12'
_cell_length_a 5.5115
_cell_length_b 17.1712
_cell_length_c 5.0994
_cell_angle_alpha 90.00
_cell_angle_beta 91.58
_cell_angle_gamma 90.00
_space_group_name_H-M_alt 'C 1 m 1'
_space_group_IT_number 8
_space_group_name_Hall 'C -2y'
loop_
_atom_site_label
_atom_site_type_symbol
_atom_site_fract_x
_atom_site_fract_y
_atom_site_fract_z
Rb1 Rb 0.0000 0.1274 0.0000
Mn1 Mn 0.0261 0.5000 0.5502
V1 V 0.0074 0.2995 0.4743
Cl1 Cl 0.0489 0.5000 0.0562
Cl2 Cl 0.0900 0.0000 0.5224
O1 O 0.9997 0.2977 0.1549
O2 O 0.1019 0.3882 0.5748
O3 O 0.2110 0.2240 0.5860
# E = -13.7598 eV/atom
# formation energy from raw total energies = -2.371 eV/atom

***

# 6
# meta-GGA SCAN MnReCl2O, single point on PBEsol structure
data_MnReCl2O
_chemical_formula_sum 'Mn1 Re1 Cl2 O1'
_cell_length_a 4.4208
_cell_length_b 4.4208
_cell_length_c 5.2904
_cell_angle_alpha 90.00
_cell_angle_beta 90.00
_cell_angle_gamma 90.00
_space_group_name_H-M_alt 'P 4/m m m'
_space_group_IT_number 123
_space_group_name_Hall '-P 4 2'
loop_
_atom_site_label
_atom_site_type_symbol
_atom_site_fract_x
_atom_site_fract_y
_atom_site_fract_z
Mn1 Mn 0.0000 0.0000 0.0000
Re1 Re 0.0000 0.0000 0.5000
Cl1 Cl 0.0000 0.5000 0.5000
O1 O 0.5000 0.5000 0.0000
# E = -21.7516 eV/atom
# DOS at the Fermi energy = 1.74 states/eV/f.u.
# formation energy from raw total energies = 0.556 eV/atom

***

# 7
# meta-GGA SCAN YMn3Se2ClO8, single point on PBEsol structure
data_YMn3Se2ClO8
_chemical_formula_sum 'Y2 Mn6 Se4 Cl2 O16'
_cell_length_a 6.4003
_cell_length_b 9.5923
_cell_length_c 7.1639
_cell_angle_alpha 90.00
_cell_angle_beta 90.00
_cell_angle_gamma 90.00
_space_group_name_H-M_alt 'P m m n'
_space_group_IT_number 59
loop_
_space_group_symop_operation_xyz
'x,y,z'
'-x,-y,-z'
'-x+1/2,-y+1/2,z'
'x+1/2,y+1/2,-z'
'x+1/2,-y,-z'
'-x+1/2,y,z'
'-x,y+1/2,-z'
'x,-y+1/2,z'
loop_
_atom_site_label
_atom_site_type_symbol
_atom_site_fract_x
_atom_site_fract_y
_atom_site_fract_z
Y1 Y 0.2500 0.2500 0.2239
Mn1 Mn 0.0000 0.0000 0.5000
Mn2 Mn 0.2500 0.2500 0.7076
Se1 Se 0.2500 0.5650 0.9235
Cl1 Cl 0.2500 0.7500 0.3687
O1 O 0.0411 0.5910 0.7735
O2 O 0.2500 0.1155 0.4894
O3 O 0.2500 0.1172 0.9283
# E = -13.9106 eV/atom
# formation energy from raw total energies = -1.871 eV/atom

***

# 8
# meta-GGA SCAN Mn4SiTeCl2O7, single point on PBEsol structure
data_Mn4SiTeCl2O7
_chemical_formula_sum 'Mn8 Si2 Te2 Cl4 O14'
_cell_length_a 5.4371
_cell_length_b 6.3334
_cell_length_c 12.5539
_cell_angle_alpha 90.00
_cell_angle_beta 94.11
_cell_angle_gamma 90.00
_space_group_name_H-M_alt 'P 1 21/m 1'
_space_group_IT_number 11
_space_group_name_Hall '-P 2yb'
loop_
_atom_site_label
_atom_site_type_symbol
_atom_site_fract_x
_atom_site_fract_y
_atom_site_fract_z
Mn1 Mn 0.0095 0.2500 0.3308
Mn2 Mn 0.1403 0.2500 0.8284
Mn3 Mn 0.3654 0.0038 0.1468
Si1 Si 0.1520 0.7500 0.9370
Te1 Te 0.2988 0.7500 0.3634
Cl1 Cl 0.1431 0.2500 0.5146
Cl2 Cl 0.4269 0.7500 0.6694
O1 O 0.1051 0.5436 0.2804
O2 O 0.1382 0.2500 0.1099
O3 O 0.1684 0.7500 0.0696
O4 O 0.2871 0.5333 0.8988
O5 O 0.4817 0.2500 0.7523
# E = -13.9856 eV/atom
# formation energy from raw total energies = -1.995 eV/atom

***

# 9
# meta-GGA SCAN Sr2MnClO3, single point on PBEsol structure
data_Sr2MnClO3
_chemical_formula_sum 'Sr4 Mn2 Cl2 O6'
_cell_length_a 3.8618
_cell_length_b 3.8618
_cell_length_c 14.3875
_cell_angle_alpha 90.00
_cell_angle_beta 90.00
_cell_angle_gamma 90.00
_space_group_name_H-M_alt 'P 4/n m m'
_space_group_IT_number 129
loop_
_space_group_symop_operation_xyz
'x,y,z'
'-x,-y,-z'
'-y+1/2,x,z'
'y+1/2,-x,-z'
'-x+1/2,-y+1/2,z'
'x+1/2,y+1/2,-z'
'y,-x+1/2,z'
'-y,x+1/2,-z'
'x+1/2,-y,-z'
'-x+1/2,y,z'
'-y,-x,-z'
'y,x,z'
'-x,y+1/2,-z'
'x,-y+1/2,z'
'y+1/2,x+1/2,-z'
'-y+1/2,-x+1/2,z'
loop_
_atom_site_label
_atom_site_type_symbol
_atom_site_fract_x
_atom_site_fract_y
_atom_site_fract_z
Sr1 Sr 0.2500 0.2500 0.0942
Sr2 Sr 0.2500 0.2500 0.3432
Mn1 Mn 0.2500 0.2500 0.7898
Cl1 Cl 0.2500 0.2500 0.5749
O1 O 0.2500 0.2500 0.9246
O2 O 0.2500 0.7500 0.2293
# E = -15.5570 eV/atom
# DOS at the Fermi energy = 1.43 states/eV/f.u.
# formation energy from raw total energies = -2.775 eV/atom

***

# 10
# meta-GGA SCAN Mn2OsSeCl, single point on PBEsol structure
data_Mn2OsSeCl
_chemical_formula_sum 'Mn2 Os1 Se1 Cl1'
_cell_length_a 4.2618
_cell_length_b 4.2618
_cell_length_c 4.4245
_cell_angle_alpha 90.00
_cell_angle_beta 90.00
_cell_angle_gamma 90.00
_space_group_name_H-M_alt 'P 4/m m m'
_space_group_IT_number 123
_space_group_name_Hall '-P 4 2'
loop_
_atom_site_label
_atom_site_type_symbol
_atom_site_fract_x
_atom_site_fract_y
_atom_site_fract_z
Mn1 Mn 0.0000 0.5000 0.0000
Os1 Os 0.0000 0.0000 0.5000
Se1 Se 0.5000 0.5000 0.5000
Cl1 Cl 0.0000 0.0000 0.0000
# E = -26.3154 eV/atom
# DOS at the Fermi energy = 3.27 states/eV/f.u.
# formation energy from raw total energies = 0.974 eV/atom

***

# 11
# meta-GGA SCAN MnPCl2, single point on PBEsol structure
data_MnPCl2
_chemical_formula_sum 'Mn2 P2 Cl4'
_cell_length_a 3.8129
_cell_length_b 4.7100
_cell_length_c 9.0666
_cell_angle_alpha 90.00
_cell_angle_beta 90.00
_cell_angle_gamma 90.00
_space_group_name_H-M_alt 'C m m m'
_space_group_IT_number 65
_space_group_name_Hall '-C 2 2'
loop_
_atom_site_label
_atom_site_type_symbol
_atom_site_fract_x
_atom_site_fract_y
_atom_site_fract_z
Mn1 Mn 0.0000 0.0000 0.0000
P1 P 0.0000 0.0000 0.5000
Cl1 Cl 0.0000 0.5000 0.1719
# E = -11.3905 eV/atom
# DOS at the Fermi energy = 0.73 states/eV/f.u.
# E above lowest polymorph = 0 meV/atom
# formation energy from raw total energies = -0.238 eV/atom

***

# 12
# meta-GGA SCAN MnPCl2, single point on PBEsol structure
data_MnPCl2
_chemical_formula_sum 'Mn4 P4 Cl8'
_cell_length_a 6.4326
_cell_length_b 6.4326
_cell_length_c 6.4326
_cell_angle_alpha 90.00
_cell_angle_beta 90.00
_cell_angle_gamma 90.00
_space_group_name_H-M_alt 'F m -3 m'
_space_group_IT_number 225
_space_group_name_Hall '-F 4 2 3'
loop_
_atom_site_label
_atom_site_type_symbol
_atom_site_fract_x
_atom_site_fract_y
_atom_site_fract_z
Mn1 Mn 0.0000 0.0000 0.0000
P1 P 0.0000 0.0000 0.5000
Cl1 Cl 0.2500 0.2500 0.2500
# E = -10.8993 eV/atom
# DOS at the Fermi energy = 2.30 states/eV/f.u.
# E above lowest polymorph = 491 meV/atom
# formation energy from raw total energies = 0.253 eV/atom

***

# 13
# meta-GGA SCAN Mn2PCl, single point on PBEsol structure
data_Mn2PCl
_chemical_formula_sum 'Mn4 P2 Cl2'
_cell_length_a 3.1816
_cell_length_b 5.8182
_cell_length_c 7.0092
_cell_angle_alpha 90.00
_cell_angle_beta 90.00
_cell_angle_gamma 90.00
_space_group_name_H-M_alt 'I m m m'
_space_group_IT_number 71
_space_group_name_Hall '-I 2 2'
loop_
_atom_site_label
_atom_site_type_symbol
_atom_site_fract_x
_atom_site_fract_y
_atom_site_fract_z
Mn1 Mn 0.0000 0.0000 0.2279
P1 P 0.0000 0.5000 0.5000
Cl1 Cl 0.0000 0.5000 0.0000
# E = -13.9406 eV/atom
# DOS at the Fermi energy = 2.51 states/eV/f.u.
# E above lowest polymorph = 0 meV/atom
# formation energy from raw total energies = -0.219 eV/atom

***

# 14
# meta-GGA SCAN MnP2Cl, single point on PBEsol structure
data_MnP2Cl
_chemical_formula_sum 'Mn1 P2 Cl1'
_cell_length_a 3.5275
_cell_length_b 4.3882
_cell_length_c 4.8724
_cell_angle_alpha 90.00
_cell_angle_beta 110.67
_cell_angle_gamma 90.00
_space_group_name_H-M_alt 'P 1 2/m 1'
_space_group_IT_number 10
_space_group_name_Hall '-P 2y'
loop_
_atom_site_label
_atom_site_type_symbol
_atom_site_fract_x
_atom_site_fract_y
_atom_site_fract_z
Mn1 Mn 0.0000 0.0000 0.0000
P1 P 0.3277 0.5000 0.1542
Cl1 Cl 0.0000 0.0000 0.5000
# E = -12.0787 eV/atom
# DOS at the Fermi energy = 0.85 states/eV/f.u.
# E above lowest polymorph = 65 meV/atom
# formation energy from raw total energies = -0.321 eV/atom

***

# 15
# meta-GGA SCAN MnP2Cl, single point on PBEsol structure
data_MnP2Cl
_chemical_formula_sum 'Mn2 P4 Cl2'
_cell_length_a 7.7463
_cell_length_b 3.1011
_cell_length_c 6.7088
_cell_angle_alpha 90.00
_cell_angle_beta 107.01
_cell_angle_gamma 90.00
_space_group_name_H-M_alt 'C 1 m 1'
_space_group_IT_number 8
_space_group_name_Hall 'C -2y'
loop_
_atom_site_label
_atom_site_type_symbol
_atom_site_fract_x
_atom_site_fract_y
_atom_site_fract_z
Mn1 Mn 0.0000 0.0000 0.0000
P1 P 0.2705 0.0000 0.9184
P2 P 0.4321 0.0000 0.7169
Cl1 Cl 0.1248 0.5000 0.2634
# E = -12.1433 eV/atom
# DOS at the Fermi energy = 0.03 states/eV/f.u.
# E above lowest polymorph = 0 meV/atom
# formation energy from raw total energies = -0.386 eV/atom

***

# 16
# meta-GGA SCAN Mn2PCl, single point on PBEsol structure
data_Mn2PCl
_chemical_formula_sum 'Mn2 P1 Cl1'
_cell_length_a 2.9444
_cell_length_b 4.3744
_cell_length_c 4.4230
_cell_angle_alpha 90.00
_cell_angle_beta 90.00
_cell_angle_gamma 90.00
_space_group_name_H-M_alt 'P m m m'
_space_group_IT_number 47
_space_group_name_Hall '-P 2 2'
loop_
_atom_site_label
_atom_site_type_symbol
_atom_site_fract_x
_atom_site_fract_y
_atom_site_fract_z
Mn1 Mn 0.0000 0.0000 0.0000
Mn2 Mn 0.0000 0.5000 0.5000
P1 P 0.5000 0.0000 0.5000
Cl1 Cl 0.5000 0.5000 0.0000
# E = -13.9067 eV/atom
# DOS at the Fermi energy = 3.16 states/eV/f.u.
# E above lowest polymorph = 34 meV/atom
# formation energy from raw total energies = -0.185 eV/atom

***

# 17
# meta-GGA SCAN MnPRuCl2, single point on PBEsol structure
data_MnPRuCl2
_chemical_formula_sum 'Mn1 P1 Ru1 Cl2'
_cell_length_a 4.3821
_cell_length_b 4.3821
_cell_length_c 4.8476
_cell_angle_alpha 90.00
_cell_angle_beta 90.00
_cell_angle_gamma 90.00
_space_group_name_H-M_alt 'P 4/m m m'
_space_group_IT_number 123
_space_group_name_Hall '-P 4 2'
loop_
_atom_site_label
_atom_site_type_symbol
_atom_site_fract_x
_atom_site_fract_y
_atom_site_fract_z
Mn1 Mn 0.0000 0.0000 0.0000
P1 P 0.0000 0.0000 0.5000
Ru1 Ru 0.5000 0.5000 0.5000
Cl1 Cl 0.0000 0.5000 0.0000
# E = -15.4275 eV/atom
# DOS at the Fermi energy = 2.85 states/eV/f.u.
# formation energy from raw total energies = 0.460 eV/atom

***

# 18
# meta-GGA SCAN MnP2RuCl, single point on PBEsol structure
data_MnP2RuCl
_chemical_formula_sum 'Mn1 P2 Ru1 Cl1'
_cell_length_a 4.4532
_cell_length_b 4.4532
_cell_length_c 4.9795
_cell_angle_alpha 90.00
_cell_angle_beta 90.00
_cell_angle_gamma 90.00
_space_group_name_H-M_alt 'P 4/m m m'
_space_group_IT_number 123
_space_group_name_Hall '-P 4 2'
loop_
_atom_site_label
_atom_site_type_symbol
_atom_site_fract_x
_atom_site_fract_y
_atom_site_fract_z
Mn1 Mn 0.0000 0.0000 0.0000
P1 P 0.0000 0.5000 0.5000
Ru1 Ru 0.5000 0.5000 0.5000
Cl1 Cl 0.5000 0.5000 0.0000
# E = -16.0169 eV/atom
# DOS at the Fermi energy = 2.94 states/eV/f.u.
# formation energy from raw total energies = 0.354 eV/atom

***

# 19
# meta-GGA SCAN MnPSCl2, single point on PBEsol structure
data_MnPSCl2
_chemical_formula_sum 'Mn1 P1 S1 Cl2'
_cell_length_a 4.3609
_cell_length_b 4.3609
_cell_length_c 4.9174
_cell_angle_alpha 90.00
_cell_angle_beta 90.00
_cell_angle_gamma 90.00
_space_group_name_H-M_alt 'P 4/m m m'
_space_group_IT_number 123
_space_group_name_Hall '-P 4 2'
loop_
_atom_site_label
_atom_site_type_symbol
_atom_site_fract_x
_atom_site_fract_y
_atom_site_fract_z
Mn1 Mn 0.0000 0.0000 0.0000
P1 P 0.0000 0.0000 0.5000
S1 S 0.5000 0.5000 0.5000
Cl1 Cl 0.0000 0.5000 0.0000
# E = -10.7367 eV/atom
# DOS at the Fermi energy = 2.75 states/eV/f.u.
# formation energy from raw total energies = 0.111 eV/atom

***

# 20
# meta-GGA SCAN SrMnPCl2, single point on PBEsol structure
data_SrMnPCl2
_chemical_formula_sum 'Sr1 Mn1 P1 Cl2'
_cell_length_a 4.7707
_cell_length_b 4.7707
_cell_length_c 4.7474
_cell_angle_alpha 90.00
_cell_angle_beta 90.00
_cell_angle_gamma 90.00
_space_group_name_H-M_alt 'P 4/m m m'
_space_group_IT_number 123
_space_group_name_Hall '-P 4 2'
loop_
_atom_site_label
_atom_site_type_symbol
_atom_site_fract_x
_atom_site_fract_y
_atom_site_fract_z
Sr1 Sr 0.0000 0.0000 0.0000
Mn1 Mn 0.5000 0.5000 0.5000
P1 P 0.5000 0.5000 0.0000
Cl1 Cl 0.0000 0.5000 0.5000
# E = -14.6314 eV/atom
# DOS at the Fermi energy = 1.82 states/eV/f.u.
# formation energy from raw total energies = -1.254 eV/atom